Entry 1:
Material: YNiB
Method: DFT, PBE
State: optimized geometry

Lattice parameters (Å, degrees): 6.0282 6.0282 6.0282 90.00 90.00 90.00
Fractional positions:
Y1 0.0000 0.0000 0.0000
Y2 0.0000 0.5000 0.5000
Y3 0.5000 0.0000 0.5000
Y4 0.5000 0.5000 0.0000
Ni1 0.2500 0.2500 0.2500
Ni2 0.2500 0.7500 0.7500
Ni3 0.7500 0.2500 0.7500
Ni4 0.7500 0.7500 0.2500
B1 0.2500 0.2500 0.7500
B2 0.2500 0.7500 0.2500
B3 0.7500 0.2500 0.2500
B4 0.7500 0.7500 0.7500

## Properties
Space-group type = F-43m (216)
Energy above the lowest structure with this stoichiometry = 1.288 eV per atom
Magnetic moment = 0.0 Bohr magnetons per cell

=====

Entry 2:
Material: RbAgBiAu
Method: DFT, PBE
State: optimized geometry

Lattice parameters (Å, degrees): 7.5563 7.5563 7.5563 90.00 90.00 90.00
Fractional positions:
Rb1 0.0000 0.0000 0.0000
Rb2 0.0000 0.5000 0.5000
Rb3 0.5000 0.0000 0.5000
Rb4 0.5000 0.5000 0.0000
Ag1 0.0000 0.0000 0.5000
Ag2 0.0000 0.5000 0.0000
Ag3 0.5000 0.0000 0.0000
Ag4 0.5000 0.5000 0.5000
Bi1 0.2500 0.2500 0.2500
Bi2 0.2500 0.7500 0.7500
Bi3 0.7500 0.2500 0.7500
Bi4 0.7500 0.7500 0.2500
Au1 0.2500 0.2500 0.7500
Au2 0.2500 0.7500 0.2500
Au3 0.7500 0.2500 0.2500
Au4 0.7500 0.7500 0.7500

## Properties
Space-group type = F-43m (216)
Energy above the lowest structure with this stoichiometry = 0.165 eV per atom

=====

Entry 3:
Material: K2Rb2HgAs2
Method: DFT, PBE
State: optimized geometry

Lattice parameters (Å, degrees): 10.2527 10.2527 10.2527 33.43 33.43 33.43
Fractional positions:
K1 0.1120 0.1120 0.1120
K2 0.8880 0.8880 0.8880
Rb1 0.2920 0.2920 0.2920
Rb2 0.7080 0.7080 0.7080
Hg1 0.5000 0.5000 0.5000
As1 0.4130 0.4130 0.4130
As2 0.5870 0.5870 0.5870

## Properties
Space-group type = R-3m (166)
Energy above the lowest structure with this stoichiometry = 0.000 eV per atom

=====

Entry 4:
Material: LiTh6Tl3
Method: DFT, PBE
State: optimized geometry

Lattice parameters (Å, degrees): 8.1474 8.1474 8.1474 121.49 121.49 87.43
Fractional positions:
Li1 0.0000 0.0000 0.0000
Th1 0.0000 0.3205 0.3205
Th2 0.0000 0.6795 0.6795
Th3 0.2394 0.2394 0.0000
Th4 0.3205 0.0000 0.3205
Th5 0.6795 0.0000 0.6795
Th6 0.7606 0.7606 0.0000
Tl1 0.2500 0.7500 0.5000
Tl2 0.5000 0.5000 0.0000
Tl3 0.7500 0.2500 0.5000

## Properties
Total DFT energy (no corrections) = -0.3315 Ry/atom
Space-group type = I4/mmm (139)
Magnetic moment = 0.1 Bohr magnetons per cell

=====

no.,calculated volume (Å³ per atom)
1,18.25
2,26.97
3,41.62
4,37.34